# PBE-GGA Cs2NbTcF6, optimized geometry
data_Cs2NbTcF6
_space_group_name_H-M_alt 'F m -3 m'
_space_group_IT_number 225
_space_group_name_Hall '-F 4 2 3'
_cell_length_a 8.842
_cell_length_b 8.842
_cell_length_c 8.842
_cell_angle_alpha 90.00
_cell_angle_beta 90.00
_cell_angle_gamma 90.00
loop_
_atom_site_label
_atom_site_type_symbol
_atom_site_fract_x
_atom_site_fract_y
_atom_site_fract_z
_atom_site_occupancy
Cs1 Cs 0.250 0.250 0.250 1
Nb1 Nb 0.000 0.000 0.000 1
Tc1 Tc 0.000 0.000 0.500 1
F1 F 0.000 0.000 0.248 1
# N(E_F) = 18.3 states/eV per cell
# uncorrected formation energy = -1990 meV/atom